A relaxed structure of SrAlSnPd2, computed with PBE-GGA.

abc: 4.532 4.532 10.709
angles: 90.00 90.00 90.00
Space group P4/nmm (No. 129, origin choice 2)
Inequivalent atoms, fractional coordinates:
Sr 0.250 0.250 0.249 [2 per cell]
Al 0.250 0.750 0.000 [2 per cell]
Sn 0.250 0.250 0.634 [2 per cell]
Pd 0.250 0.250 0.889 [2 per cell]
Pd 0.250 0.750 0.500 [2 per cell]

Values from the calculation:
Its calculated total energy is -4.69 eV/atom.